DFT (PBE with a Hubbard U) results for a geometry-optimized RbY2WF structure.

The raw total energy comes out at -2.78 eV per atom. For the theoretical density, the calculation gives 4.19 Mg/m³. For the density of states at the Fermi level, the calculation gives 6.0 states/eV per cell.

The space group is P4/mmm (No. 123) and the conventional cell measures 5.6999, 5.6999 and 5.6912 Å, with angles of 90.00, 90.00 and 90.00 degrees. The asymmetric unit holds Rb at (0.0000, 0.0000, 0.0000), Y at (0.0000, 0.5000, 0.0000), W at (0.0000, 0.0000, 0.5000) and F at (0.5000, 0.5000, 0.5000).